# Ce4Ga4Hg3

Crystalline Ce4Ga4Hg3 at its relaxed geometry (GGA-PBE, the Alexandria database). Values from VASP.

Structure (Quantum ESPRESSO input):
```
&SYSTEM
  ibrav = 0, nat = 11, ntyp = 3
/
ATOMIC_SPECIES
Ce 140.12 Ce.upf
Ga 69.72 Ga.upf
Hg 200.59 Hg.upf
ATOMIC_POSITIONS angstrom
Ce 0.000 3.827 3.298
Ce 2.562 0.000 4.069
Ce 2.562 6.266 0.000
Ce 2.562 1.387 0.000
Ga 0.000 -1.296 4.678
Ga 2.562 2.530 2.689
Ga 2.562 5.123 2.689
Ga 0.000 1.296 4.678
Hg 0.000 0.000 1.737
Hg 2.562 3.827 5.630
Hg 0.000 3.827 0.000
CELL_PARAMETERS angstrom
5.124 0.000 0.000
0.000 7.653 0.000
-2.562 -3.827 7.367
```

Density of states at the Fermi level: 1.900 states/eV/atom
Energy relative to the elements: -1.71 eV/f.u.
Space group: No. 71
Total DFT energy (no corrections): -38.5 eV per formula unit

=====

# Ce4GaHg3

Crystalline Ce4GaHg3 at its relaxed geometry (GGA-PBE, the Alexandria database). Values from VASP.

Structure (Quantum ESPRESSO input):
```
&SYSTEM
  ibrav = 0, nat = 8, ntyp = 3
/
ATOMIC_SPECIES
Ga 69.72 Ga.upf
Ce 140.12 Ce.upf
Hg 200.59 Hg.upf
ATOMIC_POSITIONS angstrom
Ga 1.929 1.929 0.000
Ce 0.000 0.000 12.975
Ce 0.000 0.000 1.416
Ce 0.000 0.000 5.294
Ce 0.000 0.000 9.096
Hg 1.929 1.929 3.370
Hg 1.929 1.929 7.195
Hg 1.929 1.929 11.021
CELL_PARAMETERS angstrom
3.858 0.000 0.000
0.000 3.858 0.000
0.000 0.000 14.391
```

Density of states at the Fermi level: 3.331 states/eV/atom
Energy relative to the elements: -2.69 eV/f.u.
Space group: No. 123
Total DFT energy (no corrections): -30.4 eV per formula unit
E above lowest polymorph: 0.00 eV per formula unit

=====

# Ce7Ga2Hg2

Crystalline Ce7Ga2Hg2 at its relaxed geometry (GGA-PBE, the Alexandria database). Values from VASP.

Structure (Quantum ESPRESSO input):
```
&SYSTEM
  ibrav = 0, nat = 11, ntyp = 3
/
ATOMIC_SPECIES
Ce 140.12 Ce.upf
Ga 69.72 Ga.upf
Hg 200.59 Hg.upf
ATOMIC_POSITIONS angstrom
Ce 0.121 -4.040 0.580
Ce -5.703 -1.699 0.916
Ce -6.093 -3.205 4.658
Ce -0.268 -5.547 4.321
Ce 0.000 0.000 0.000
Ce -4.249 -4.650 2.073
Ce -1.723 -2.595 3.164
Ga -2.031 0.226 4.268
Ga -3.941 -7.471 0.969
Hg -3.243 -4.617 5.088
Hg -2.729 -2.628 0.150
CELL_PARAMETERS angstrom
-4.179 2.495 4.958
-5.193 -4.232 -2.245
3.401 -5.508 2.524
```

Density of states at the Fermi level: 3.407 states/eV/atom
Energy relative to the elements: -0.59 eV/f.u.
Space group: No. 65
Total DFT energy (no corrections): -48.8 eV per formula unit

=====

# Ce5GaHg2

Crystalline Ce5GaHg2 at its relaxed geometry (GGA-PBE, the Alexandria database). Values from VASP.

Structure (Quantum ESPRESSO input):
```
&SYSTEM
  ibrav = 0, nat = 8, ntyp = 3
/
ATOMIC_SPECIES
Ce 140.12 Ce.upf
Ga 69.72 Ga.upf
Hg 200.59 Hg.upf
ATOMIC_POSITIONS angstrom
Ce 2.082 2.245 -1.238
Ce 4.051 1.941 5.926
Ce 1.629 4.186 5.926
Ce 0.412 2.874 1.500
Ce 2.834 0.628 1.500
Ga 0.000 0.000 0.000
Hg 3.270 3.527 3.084
Hg 1.193 1.287 4.342
CELL_PARAMETERS angstrom
4.504 0.000 -1.238
-0.340 4.491 -1.238
0.300 0.323 9.902
```

Density of states at the Fermi level: 2.776 states/eV/atom
Energy relative to the elements: -1.97 eV/f.u.
Space group: No. 139
Total DFT energy (no corrections): -35.3 eV per formula unit
E above lowest polymorph: 0.00 eV per formula unit

=====

# Ce7Ga3Hg

Crystalline Ce7Ga3Hg at its relaxed geometry (GGA-PBE, the Alexandria database). Values from VASP.

Structure (Quantum ESPRESSO input):
```
&SYSTEM
  ibrav = 0, nat = 11, ntyp = 3
/
ATOMIC_SPECIES
Ce 140.12 Ce.upf
Ga 69.72 Ga.upf
Hg 200.59 Hg.upf
ATOMIC_POSITIONS angstrom
Ce 0.045 0.868 1.111
Ce 0.071 -0.503 4.305
Ce 0.157 1.316 6.634
Ce 0.071 4.299 0.556
Ce -2.737 2.863 3.667
Ce 0.157 6.117 2.885
Ce 0.184 4.747 6.079
Ga -2.737 5.232 1.817
Ga 2.851 -0.056 -0.072
Ga -2.737 0.495 5.517
Hg 0.114 2.807 3.595
CELL_PARAMETERS angstrom
5.702 -0.112 -0.144
-2.737 7.359 0.157
-2.737 -1.632 7.177
```

Density of states at the Fermi level: 3.093 states/eV/atom
Energy relative to the elements: -2.34 eV/f.u.
Space group: No. 12
Total DFT energy (no corrections): -53.3 eV per formula unit

=====

# Ce4GaHg3

Crystalline Ce4GaHg3 at its relaxed geometry (GGA-PBE, the Alexandria database). Values from VASP.

Structure (Quantum ESPRESSO input):
```
&SYSTEM
  ibrav = 0, nat = 8, ntyp = 3
/
ATOMIC_SPECIES
Ce 140.12 Ce.upf
Ga 69.72 Ga.upf
Hg 200.59 Hg.upf
ATOMIC_POSITIONS angstrom
Ce -1.524 -2.547 -0.691
Ce -0.414 -6.367 3.259
Ce -2.483 -4.925 1.970
Ce 0.546 -3.990 0.598
Ga 0.000 0.000 0.000
Hg -0.927 -6.908 -0.037
Hg -1.011 -2.006 2.605
Hg -3.123 -0.236 1.268
CELL_PARAMETERS angstrom
-2.613 0.326 4.560
-3.632 -0.799 -2.025
4.308 -8.442 0.032
```

Density of states at the Fermi level: 2.020 states/eV/atom
Energy relative to the elements: -1.62 eV/f.u.
Space group: No. 71
Total DFT energy (no corrections): -29.3 eV per formula unit
E above lowest polymorph: 1.07 eV per formula unit

=====

# CeGaHg

Crystalline CeGaHg at its relaxed geometry (GGA-PBE, the Alexandria database). Values from VASP.

Structure (Quantum ESPRESSO input):
```
&SYSTEM
  ibrav = 0, nat = 3, ntyp = 3
/
ATOMIC_SPECIES
Ga 69.72 Ga.upf
Hg 200.59 Hg.upf
Ce 140.12 Ce.upf
ATOMIC_POSITIONS angstrom
Ga -0.135 0.550 -0.188
Hg -1.333 1.096 2.230
Ce 0.934 3.294 1.297
CELL_PARAMETERS angstrom
-0.821 3.334 -1.142
-3.871 0.000 2.785
4.158 1.605 1.696
```

Density of states at the Fermi level: 1.894 states/eV/atom
Energy relative to the elements: -1.25 eV/f.u.
Space group: No. 156
Total DFT energy (no corrections): -10.5 eV per formula unit
E above lowest polymorph: 0.00 eV per formula unit

=====

# CeInGaHg

Crystalline CeInGaHg at its relaxed geometry (GGA-PBE, the Alexandria database). Values from VASP.

Structure (Quantum ESPRESSO input):
```
&SYSTEM
  ibrav = 0, nat = 4, ntyp = 4
/
ATOMIC_SPECIES
Ga 69.72 Ga.upf
Hg 200.59 Hg.upf
Ce 140.12 Ce.upf
In 114.82 In.upf
ATOMIC_POSITIONS angstrom
Ga 2.563 1.480 1.046
Hg 7.690 4.440 3.139
Ce 5.126 2.960 2.093
In 0.000 0.000 0.000
CELL_PARAMETERS angstrom
5.126 0.000 0.000
2.563 4.440 0.000
2.563 1.480 4.186
```

Density of states at the Fermi level: 1.216 states/eV/atom
Energy relative to the elements: -1.32 eV/f.u.
Space group: No. 216
Total DFT energy (no corrections): -13.3 eV per formula unit